## i
VASP calculation (PBE) on crystalline RbMo3S3 at its relaxed geometry.

calculated volume = 23.40 Å³/atom

Lattice parameters (Å, degrees): 9.210 9.210 4.459 90.00 90.00 120.00
Fractional coordinates of all 14 atoms:
Rb 0.333 0.667 0.750
Rb 0.667 0.333 0.250
Mo 0.971 0.820 0.250
Mo 0.151 0.971 0.750
Mo 0.849 0.029 0.250
Mo 0.029 0.180 0.750
Mo 0.180 0.151 0.250
Mo 0.820 0.849 0.750
S 0.282 0.944 0.250
S 0.056 0.337 0.250
S 0.718 0.056 0.750
S 0.337 0.282 0.750
S 0.944 0.663 0.750
S 0.663 0.718 0.250



## ii
VASP calculation (PBE) on crystalline RbMo3S3 at its relaxed geometry.

calculated volume = 23.11 Å³/atom

Lattice parameters (Å, degrees): 5.847 6.809 9.203 73.18 70.34 73.81
Fractional coordinates of all 14 atoms:
S 0.601 0.228 0.291
S 0.266 0.891 0.294
S 0.940 0.558 0.291
S 0.399 0.772 0.709
S 0.734 0.109 0.706
S 0.060 0.442 0.709
Mo 0.241 0.512 0.430
Mo 0.094 0.819 0.572
Mo 0.906 0.181 0.428
Mo 0.425 0.152 0.572
Mo 0.575 0.848 0.428
Mo 0.759 0.488 0.570
Rb 0.319 0.303 0.000
Rb 0.681 0.697 0.000



Quick look at relative energies in eV/atom: i 0.000; ii 0.361.